{
  "formula": "YReSb",
  "functional": "PBE",
  "state": "relaxed",
  "cell": [[0.000, 3.397, 3.397], [3.397, 0.000, 3.397], [3.397, 3.397, 0.000]],
  "species": ["Y", "Re", "Sb"],
  "frac_coords": [[0.000, 0.000, 0.000], [0.250, 0.250, 0.250], [0.750, 0.750, 0.750]],
  "m_tot_mub_per_fu": 0.25,
  "crystal_system": "cubic",
  "sg": "F-43m (216)",
  "e_form_raw_ev_per_atom": 0.977
}